a.
Entry from the Alexandria database: a relaxed BaAc2Pb2 crystal (PBE-GGA).

Lattice parameters (Å, degrees): 4.9463 9.0076 9.0076 90.00 90.00 90.00
Sites, in units of the cell vectors:
Ac1 0.0000 0.6717 0.3283
Pb1 0.5000 0.3772 0.3772
Ac2 0.0000 0.1717 0.1717
Ac3 0.0000 0.8283 0.8283
Pb2 0.5000 0.6228 0.6228
Pb3 0.5000 0.8772 0.1228
Pb4 0.5000 0.1228 0.8772
Ba1 0.5000 0.5000 0.0000
Ba2 0.5000 0.0000 0.5000
Ac4 0.0000 0.3283 0.6717

Computed properties:
- D(E_F): 5.5 states/eV/f.u.
- ρ: 8.32 g/cm3
- Symmetry: No. 127


b.
Entry from the Alexandria database: a relaxed BaAc2Pb2 crystal (PBE-GGA).

Lattice parameters (Å, degrees): 5.3741 5.3741 8.3659 108.87 108.87 89.93
Sites, in units of the cell vectors:
Ba1 0.0000 0.0000 0.0000
Ac1 0.7501 0.2499 0.5000
Ac2 0.2499 0.7501 0.5000
Pb1 0.3978 0.3978 0.7929
Pb2 0.6022 0.6022 0.2071

Computed properties:
- D(E_F): 5.0 states/eV/f.u.
- ρ: 7.77 g/cm3
- Symmetry: No. 12


Verdict on stability: b comes out at the bottom.


a.
Entry from the Alexandria database: a relaxed BaAc2Pb crystal (PBE-GGA).

Lattice parameters (Å, degrees): 4.6387 4.6387 11.3119 78.17 78.17 60.00
Sites, in units of the cell vectors:
Ac1 0.0601 0.0601 0.8197
Ac2 0.2731 0.2731 0.1806
Ba1 0.5008 0.5008 0.4975
Pb1 0.6660 0.6660 0.0021

Computed properties:
- D(E_F): 6.8 states/eV/f.u.
- ρ: 6.47 g/cm3
- Symmetry: No. 160


b.
Entry from the Alexandria database: a relaxed BaAc2Pb crystal (PBE-GGA).

Lattice parameters (Å, degrees): 4.5072 4.5072 8.2482 90.00 90.00 90.00
Sites, in units of the cell vectors:
Pb1 0.5000 0.5000 0.0000
Ba1 0.5000 0.5000 0.5000
Ac1 0.0000 0.0000 0.7913
Ac2 0.0000 0.0000 0.2087

Computed properties:
- D(E_F): 4.2 states/eV/f.u.
- ρ: 7.91 g/cm3
- Symmetry: No. 123


Verdict on stability: a comes out at the bottom.


a.
Entry from the Alexandria database: a relaxed BaAc2Pb3 crystal (PBE-GGA).

Lattice parameters (Å, degrees): 7.2946 10.8195 9.1368 126.31 113.53 90.00
Sites, in units of the cell vectors:
Ba1 0.5009 0.2500 0.5000
Ac1 0.8343 0.0841 0.1681
Ac2 0.1662 0.4159 0.8319
Pb1 0.5000 0.7501 0.0000
Ac3 0.1657 0.9159 0.8319
Pb2 0.0000 0.5000 0.5000
Pb3 0.5000 0.2499 0.0000
Ba2 0.4991 0.7500 0.5000
Ac4 0.8338 0.5841 0.1681
Pb4 0.0000 0.2501 0.0000
Pb5 0.0000 0.7499 0.0000
Pb6 0.0000 0.0000 0.5000

Computed properties:
- D(E_F): 4.1 states/eV/f.u.
- ρ: 7.98 g/cm3
- Symmetry: No. 74


b.
Entry from the Alexandria database: a relaxed BaAc2Pb3 crystal (PBE-GGA).

Lattice parameters (Å, degrees): 4.3499 4.3499 11.9052 90.00 90.00 90.00
Sites, in units of the cell vectors:
Ba1 0.5000 0.5000 0.5000
Ac1 0.5000 0.5000 0.1596
Pb1 0.0000 0.0000 0.3126
Pb2 0.0000 0.0000 0.0000
Ac2 0.5000 0.5000 0.8404
Pb3 0.0000 0.0000 0.6874

Computed properties:
- D(E_F): 4.6 states/eV/f.u.
- ρ: 8.94 g/cm3
- Symmetry: No. 123


Verdict on stability: a comes out at the bottom.


a.
Entry from the Alexandria database: a relaxed BaAcPd2 crystal (PBE-GGA).

Lattice parameters (Å, degrees): 3.8668 3.8668 7.7681 90.00 90.00 90.00
Sites, in units of the cell vectors:
Pd1 0.0000 0.0000 0.7920
Ba1 0.5000 0.5000 0.5000
Ac1 0.5000 0.5000 0.0000
Pd2 0.0000 0.0000 0.2080

Computed properties:
- D(E_F): 2.0 states/eV/f.u.
- ρ: 8.25 g/cm3
- Symmetry: No. 123


b.
Entry from the Alexandria database: a relaxed BaAcPd2 crystal (PBE-GGA).

Lattice parameters (Å, degrees): 5.4325 5.4325 5.4325 60.00 60.00 60.00
Sites, in units of the cell vectors:
Ac1 0.0000 0.0000 0.0000
Pd1 0.2500 0.2500 0.2500
Ba1 0.5000 0.5000 0.5000
Pd2 0.7500 0.7500 0.7500

Computed properties:
- D(E_F): 1.8 states/eV/f.u.
- ρ: 8.45 g/cm3
- Symmetry: No. 225


c.
Entry from the Alexandria database: a relaxed BaAcPd2 crystal (PBE-GGA).

Lattice parameters (Å, degrees): 4.3907 4.3907 8.2283 74.53 74.53 60.00
Sites, in units of the cell vectors:
Pd1 0.0759 0.0759 0.7724
Ac1 0.6684 0.6684 0.9948
Ba1 0.4965 0.4965 0.5105
Pd2 0.2592 0.2592 0.2224

Computed properties:
- D(E_F): 2.6 states/eV/f.u.
- ρ: 7.33 g/cm3
- Symmetry: No. 160


d.
Entry from the Alexandria database: a relaxed BaAcPd2 crystal (PBE-GGA).

Lattice parameters (Å, degrees): 4.4803 4.4803 7.9158 73.56 73.56 60.00
Sites, in units of the cell vectors:
Pd1 0.2587 0.2587 0.2240
Ba1 0.5000 0.5000 0.5000
Ac1 0.0000 0.0000 0.0000
Pd2 0.7413 0.7413 0.7760

Computed properties:
- D(E_F): 2.6 states/eV/f.u.
- ρ: 7.37 g/cm3
- Symmetry: No. 166


Verdict on stability: c comes out at the bottom.


a.
Entry from the Alexandria database: a relaxed Ba2AcPd crystal (PBE-GGA).

Lattice parameters (Å, degrees): 3.9806 3.9806 10.4171 90.00 90.00 90.00
Sites, in units of the cell vectors:
Ba1 0.0000 0.0000 0.1794
Ba2 0.0000 0.0000 0.8206
Pd1 0.5000 0.5000 0.0000
Ac1 0.5000 0.5000 0.5000

Computed properties:
- D(E_F): 4.1 states/eV/f.u.
- ρ: 6.12 g/cm3
- Symmetry: No. 123


b.
Entry from the Alexandria database: a relaxed Ba2AcPd crystal (PBE-GGA).

Lattice parameters (Å, degrees): 4.2472 4.2472 12.2028 79.98 79.98 60.00
Sites, in units of the cell vectors:
Ba1 0.1127 0.1127 0.6618
Ba2 0.8873 0.8873 0.3382
Ac1 0.0000 0.0000 0.0000
Pd1 0.5000 0.5000 0.5000

Computed properties:
- D(E_F): 3.9 states/eV/f.u.
- ρ: 5.41 g/cm3
- Symmetry: No. 166


Verdict on stability: b comes out at the bottom.


a.
Entry from the Alexandria database: a relaxed Ba2AcPr crystal (PBE-GGA).

Lattice parameters (Å, degrees): 6.0743 5.6228 5.6228 90.00 90.00 90.00
Sites, in units of the cell vectors:
Ac1 0.5000 0.0000 0.0000
Ba1 0.0000 0.5000 0.0000
Ba2 0.0000 0.0000 0.5000
Pr1 0.5000 0.5000 0.5000

Computed properties:
- D(E_F): 7.5 states/eV/f.u.
- ρ: 5.56 g/cm3
- Symmetry: No. 123


b.
Entry from the Alexandria database: a relaxed Ba2AcPr crystal (PBE-GGA).

Lattice parameters (Å, degrees): 3.9484 3.9484 14.4885 82.17 82.17 60.00
Sites, in units of the cell vectors:
Ba1 0.9142 0.9142 0.2575
Ac1 0.5000 0.5000 0.5000
Pr1 0.0000 0.0000 0.0000
Ba2 0.0858 0.0858 0.7425

Computed properties:
- D(E_F): 7.3 states/eV/f.u.
- ρ: 5.52 g/cm3
- Symmetry: No. 166


Verdict on stability: b comes out at the bottom.